DFT (PBE) results for a relaxed K2CaNd4Nb2O12 crystal.

Cell and atoms, written as extended XYZ:
```
21
Lattice="6.3407 -2.9151 0.0000 6.3407 2.9151 0.0000 -2.0523 0.0000 9.2958" Properties=species:S:1:pos:R:3 pbc="T T T"
K 0.6260 0.0000 4.6160
K 10.0031 0.0000 4.6798
Ca 5.3145 0.0000 4.6479
Nd -0.3167 0.0000 8.4314
Nd 3.6673 0.0000 7.6637
Nd 6.9617 0.0000 1.6322
Nd 10.9457 0.0000 0.8645
Nb 3.5006 0.0000 2.3765
Nb 7.1284 0.0000 6.9193
O 1.6804 1.4809 7.8643
O 5.1480 1.3504 2.6766
O 6.3407 1.4817 0.0000
O 5.4810 1.3504 6.6192
O 3.1062 0.0000 4.2834
O 8.9486 1.4809 1.4315
O 1.6804 -1.4809 7.8643
O 7.5228 0.0000 5.0125
O 5.1480 -1.3504 2.6766
O 6.3407 -1.4817 0.0000
O 5.4810 -1.3504 6.6192
O 8.9486 -1.4809 1.4315
```

Energy above the lowest structure with this stoichiometry ... 0.000 eV per atom
Calculated total energy ... -7.6485 eV per atom